one | Density functional theory data (GGA-PBE) for a relaxed Tb3TeRh crystal.

abc: 15.534 11.639 6.913
angles: 90.00 99.84 90.00
Space group C2/c (No. 15)
Unique sites:
1 Tb 0.096 0.066 0.459 [8 per cell]
2 Tb 0.098 0.248 0.957 [8 per cell]
3 Tb 0.099 0.414 0.446 [8 per cell]
4 Te 0.247 0.094 0.824 [8 per cell]
5 Rh 0.000 0.231 0.250 [4 per cell]
6 Rh 0.000 0.413 0.750 [4 per cell]

Results
DOS at the Fermi energy: 1.79 states/eV/f.u.



two | Density functional theory data (GGA-PBE) for a relaxed Tb3TeRh crystal.

abc: 11.633 4.080 11.496
angles: 90.00 90.00 90.00
Space group Pnma (No. 62)
Unique sites:
1 Tb 0.040 0.250 0.169 [4 per cell]
2 Tb 0.115 0.750 0.551 [4 per cell]
3 Tb 0.223 0.250 0.781 [4 per cell]
4 Te 0.175 0.750 0.000 [4 per cell]
5 Rh 0.001 0.750 0.327 [4 per cell]

Results
DOS at the Fermi energy: 2.99 states/eV/f.u.



Stability order, top to bottom: two, one



one | Density functional theory data (GGA-PBE) for a relaxed Tb4TeRh crystal.

abc: 19.046 5.423 9.601
angles: 90.00 114.47 90.00
Space group C2/m (No. 12)
Unique sites:
1 Tb 0.028 0.000 0.209 [4 per cell]
2 Tb 0.101 0.500 0.021 [4 per cell]
3 Tb 0.201 0.000 0.895 [4 per cell]
4 Tb 0.249 0.000 0.320 [4 per cell]
5 Te 0.165 0.000 0.544 [4 per cell]
6 Rh 0.114 0.000 0.054 [4 per cell]

Results
DOS at the Fermi energy: 5.32 states/eV/f.u.



two | Density functional theory data (GGA-PBE) for a relaxed Tb4TeRh crystal.

abc: 8.312 3.952 19.543
angles: 90.00 90.00 90.00
Space group Pnma (No. 62)
Unique sites:
1 Tb 0.015 0.250 0.068 [4 per cell]
2 Tb 0.044 0.750 0.217 [4 per cell]
3 Tb 0.134 0.750 0.649 [4 per cell]
4 Tb 0.144 0.750 0.450 [4 per cell]
5 Te 0.247 0.250 0.313 [4 per cell]
6 Rh 0.230 0.250 0.550 [4 per cell]

Results
DOS at the Fermi energy: 4.45 states/eV/f.u.



Stability order, top to bottom: two, one



one | Density functional theory data (GGA-PBE) for a relaxed Tb3Te2Rh crystal.

abc: 6.052 14.709 4.154
angles: 90.00 90.00 90.00
Space group Cmmm (No. 65)
Unique sites:
1 Tb 0.000 0.000 0.000 [2 per cell]
2 Tb 0.000 0.376 0.500 [4 per cell]
3 Te 0.000 0.160 0.500 [4 per cell]
4 Rh 0.000 0.500 0.000 [2 per cell]

Results
DOS at the Fermi energy: 5.82 states/eV/f.u.



two | Density functional theory data (GGA-PBE) for a relaxed Tb3Te2Rh crystal.

abc: 4.273 4.273 18.402
angles: 90.00 90.00 90.00
Space group I4/mmm (No. 139)
Unique sites:
1 Tb 0.000 0.000 0.000 [2 per cell]
2 Tb 0.000 0.000 0.359 [4 per cell]
3 Te 0.000 0.000 0.177 [4 per cell]
4 Rh 0.000 0.000 0.500 [2 per cell]

Results
DOS at the Fermi energy: 3.54 states/eV/f.u.



Stability order, top to bottom: two, one



one | Density functional theory data (GGA-PBE) for a relaxed Tb7Te2Rh2 crystal.

abc: 3.938 15.929 9.544
angles: 90.00 90.00 90.00
Space group Imm2 (No. 44)
Unique sites:
1 Tb 0.000 0.000 0.000 [2 per cell]
2 Tb 0.000 0.131 0.582 [4 per cell]
3 Tb 0.000 0.318 0.376 [4 per cell]
4 Tb 0.000 0.352 0.735 [4 per cell]
5 Te 0.000 0.000 0.335 [2 per cell]
6 Te 0.000 0.500 0.235 [2 per cell]
7 Rh 0.000 0.239 0.070 [4 per cell]

Results
DOS at the Fermi energy: 9.35 states/eV/f.u.



two | Density functional theory data (GGA-PBE) for a relaxed Tb7Te2Rh2 crystal.

abc: 8.500 11.457 7.764
angles: 90.00 103.46 90.00
Space group C2/m (No. 12)
Unique sites:
1 Tb 0.000 0.000 0.000 [2 per cell]
2 Tb 0.067 0.500 0.796 [4 per cell]
3 Tb 0.196 0.268 0.206 [8 per cell]
4 Te 0.000 0.298 0.500 [4 per cell]
5 Rh 0.233 0.500 0.135 [4 per cell]

Results
DOS at the Fermi energy: 12.62 states/eV/f.u.



Stability order, top to bottom: one, two



one | Density functional theory data (GGA-PBE) for a relaxed Tb5Te4Rh crystal.

abc: 9.697 9.697 6.168
angles: 90.00 90.00 90.00
Space group I4/m (No. 87)
Unique sites:
1 Tb 0.000 0.000 0.000 [2 per cell]
2 Tb 0.094 0.263 0.500 [8 per cell]
3 Te 0.087 0.309 0.000 [8 per cell]
4 Rh 0.000 0.000 0.500 [2 per cell]

Results
DOS at the Fermi energy: 9.38 states/eV/f.u.



two | Density functional theory data (GGA-PBE) for a relaxed Tb5Te4Rh crystal.

abc: 4.276 4.276 31.189
angles: 90.00 90.00 90.00
Space group I4/mmm (No. 139)
Unique sites:
1 Tb 0.000 0.000 0.000 [2 per cell]
2 Tb 0.000 0.000 0.210 [4 per cell]
3 Tb 0.000 0.000 0.416 [4 per cell]
4 Te 0.000 0.000 0.105 [4 per cell]
5 Te 0.000 0.000 0.310 [4 per cell]
6 Rh 0.000 0.000 0.500 [2 per cell]

Results
DOS at the Fermi energy: 5.20 states/eV/f.u.



Stability order, top to bottom: one, two



one | Density functional theory data (GGA-PBE) for a relaxed TbThRh crystal.

abc: 4.6610 4.6610 4.0823
angles: 90.00 90.00 120.00
Space group P3m1 (No. 156)
Unique sites:
1 Tb 0.0000 0.0000 0.0000 [1 per cell]
2 Th 0.3333 0.6667 0.4540 [1 per cell]
3 Rh 0.6667 0.3333 0.7341 [1 per cell]

Results
DOS at the Fermi energy: 3.05 states/eV/f.u.



two | Density functional theory data (GGA-PBE) for a relaxed TbThRh crystal.

abc: 7.111 5.950 10.371
angles: 90.00 129.89 90.00
Space group P2_1/c (No. 14)
Unique sites:
1 Tb 0.205 0.141 0.375 [4 per cell]
2 Th 0.319 0.645 0.624 [4 per cell]
3 Rh 0.314 0.640 0.352 [4 per cell]

Results
DOS at the Fermi energy: 2.79 states/eV/f.u.



Stability order, top to bottom: two, one